Nd2AlPt4 (GGA-PBE, relaxed); density of states at the Fermi level = 2.45 states/eV/f.u.; total magnetic moment = 0.000 Bohr magnetons per cell; energy of formation = -68 kJ/mol of atoms
1.0
-2.3132 2.3132 7.4885
2.3132 -2.3132 7.4885
2.3132 2.3132 -7.4885
Nd Al Pt
2 1 4
Direct
0.1454 0.1454 0.0000
0.8546 0.8546 0.0000
0.5000 0.5000 0.0000
0.0000 0.5000 0.5000
0.3379 0.3379 0.0000
0.5000 0.0000 0.5000
0.6621 0.6621 0.0000

***

Pm3DyY2Se6 (GGA-PBE, relaxed); density of states at the Fermi level = 5.56 states/eV/f.u.; total magnetic moment = 0.000 Bohr magnetons per cell; raw formation energy = -1.801 eV/atom
1.0
9.0436 -2.0563 0.0000
9.0436 2.0563 0.0000
-2.0405 0.0000 8.0909
Pm Dy Y Se
3 1 2 6
Direct
0.0000 0.0000 0.0000
0.3331 0.3331 0.6669
0.6669 0.6669 0.3331
0.0000 0.0000 0.5000
0.3333 0.3333 0.1668
0.6667 0.6667 0.8332
0.1640 0.1640 0.5887
0.1689 0.1689 0.0773
0.4979 0.4979 0.2567
0.5021 0.5021 0.7433
0.8311 0.8311 0.9227
0.8360 0.8360 0.4113

***

CrMo2Br (GGA-PBE, relaxed); density of states at the Fermi level = 3.19 states/eV/f.u.; total magnetic moment = 1.390 Bohr magnetons per cell; raw formation energy = 0.923 eV/atom
1.0
0.0000 3.1286 3.1286
3.1286 0.0000 3.1286
3.1286 3.1286 0.0000
Cr Mo Br
1 2 1
Direct
0.0000 0.0000 0.0000
0.2500 0.2500 0.2500
0.7500 0.7500 0.7500
0.5000 0.5000 0.5000

***

InAg3Au6 (GGA-PBE, relaxed); density of states at the Fermi level = 3.54 states/eV/f.u.; total magnetic moment = 0.000 Bohr magnetons per cell; energy of formation = -6 kJ/mol of atoms
1.0
9.1949 0.0000 0.0000
0.0000 4.2739 0.0000
-0.3588 0.0000 9.3766
In Ag Au
2 6 12
Direct
0.0598 0.2500 0.3868
0.9402 0.7500 0.6132
0.2515 0.2500 0.9958
0.3473 0.7500 0.7997
0.4496 0.2500 0.6003
0.5504 0.7500 0.3997
0.6527 0.2500 0.2003
0.7485 0.7500 0.0042
0.0502 0.7500 0.9025
0.1475 0.2500 0.6959
0.1575 0.7500 0.1945
0.2505 0.7500 0.5015
0.3585 0.2500 0.2971
0.4523 0.7500 0.0976
0.5477 0.2500 0.9024
0.6415 0.7500 0.7029
0.7495 0.2500 0.4985
0.8425 0.2500 0.8055
0.8525 0.7500 0.3041
0.9498 0.2500 0.0975

***

Ag2AsSe (GGA-PBE, relaxed); density of states at the Fermi level = 1.91 states/eV/f.u.; total magnetic moment = 0.000 Bohr magnetons per cell; raw formation energy = 0.179 eV/atom
1.0
2.8594 0.0000 0.0000
0.0000 2.8594 0.0000
0.0000 0.0000 9.8430
Ag As Se
2 1 1
Direct
0.0000 0.0000 0.0000
0.5000 0.5000 0.2225
0.0000 0.0000 0.4395
0.5000 0.5000 0.7709

***

SiGeN2 (GGA-PBE, relaxed); density of states at the Fermi level = 0.89 states/eV/f.u.; total magnetic moment = 0.000 Bohr magnetons per cell; raw formation energy = 1.341 eV/atom
1.0
0.0000 2.7172 2.7172
2.7172 0.0000 2.7172
2.7172 2.7172 0.0000
Si Ge N
1 1 2
Direct
0.0000 0.0000 0.0000
0.5000 0.5000 0.5000
0.2500 0.2500 0.2500
0.7500 0.7500 0.7500

***

HfTe2Br (GGA-PBE, relaxed); density of states at the Fermi level = 1.13 states/eV/f.u.; total magnetic moment = 0.000 Bohr magnetons per cell; raw formation energy = -0.140 eV/atom
1.0
0.0000 3.6883 3.6883
3.6883 0.0000 3.6883
3.6883 3.6883 0.0000
Hf Te Br
1 2 1
Direct
0.0000 0.0000 0.0000
0.2500 0.2500 0.2500
0.7500 0.7500 0.7500
0.5000 0.5000 0.5000

***

Na16Ga12Ge (GGA-PBE, relaxed); density of states at the Fermi level = 13.03 states/eV/f.u.; total magnetic moment = 0.000 Bohr magnetons per cell; energy of formation = -7 kJ/mol of atoms
1.0
5.5370 -7.7442 0.0000
5.5370 7.7442 0.0000
-5.0423 0.0000 7.9248
Na Ga Ge
16 12 1
Direct
0.0000 0.0000 0.0000
0.0004 0.3628 0.6284
0.0038 0.0038 0.6368
0.0047 0.5927 0.9582
0.3024 0.6767 0.3327
0.3198 0.9922 0.2268
0.3361 0.5762 0.6186
0.3628 0.0004 0.6284
0.4109 0.7093 0.0388
0.5762 0.3361 0.6186
0.5927 0.0047 0.9582
0.6449 0.6449 0.3206
0.6767 0.3024 0.3327
0.6977 0.6977 0.9305
0.7093 0.4109 0.0388
0.9922 0.3198 0.2268
0.0020 0.8210 0.2851
0.0144 0.6545 0.4698
0.1643 0.3481 0.9809
0.1730 0.1730 0.4396
0.1879 0.8177 0.8144
0.3481 0.1643 0.9809
0.3500 0.3500 0.8122
0.6545 0.0144 0.4698
0.6651 0.8494 0.6628
0.8177 0.1879 0.8144
0.8210 0.0020 0.2851
0.8494 0.6651 0.6628
0.3298 0.3298 0.2574

***

Ta2AsAu (GGA-PBE, relaxed); density of states at the Fermi level = 1.83 states/eV/f.u.; total magnetic moment = 0.000 Bohr magnetons per cell; energy of formation = 0 kJ/mol of atoms
1.0
-1.6286 2.3290 4.5906
1.6286 -2.3290 4.5906
1.6286 2.3290 -4.5906
Ta As Au
2 1 1
Direct
0.0000 0.0000 0.0000
0.7264 0.2264 0.5000
0.2243 0.7243 0.5000
0.4628 0.4628 0.0000

***

ThZrSe2N (GGA-PBE, relaxed); density of states at the Fermi level = 1.53 states/eV/f.u.; total magnetic moment = 0.000 Bohr magnetons per cell; raw formation energy = -1.549 eV/atom
1.0
3.9710 0.0000 0.0000
0.0000 3.9710 0.0000
0.0000 0.0000 13.8714
Th Zr Se N
2 2 4 2
Direct
0.2500 0.2500 0.0871
0.7500 0.7500 0.9129
0.2500 0.2500 0.5970
0.7500 0.7500 0.4030
0.2500 0.2500 0.3938
0.2500 0.2500 0.7848
0.7500 0.7500 0.2152
0.7500 0.7500 0.6062
0.2500 0.7500 0.0000
0.7500 0.2500 0.0000

***

KCrFe4 (GGA-PBE, relaxed); density of states at the Fermi level = 6.78 states/eV/f.u.; total magnetic moment = 5.792 Bohr magnetons per cell; energy of formation = 78 kJ/mol of atoms
1.0
0.0000 3.5887 3.5887
3.5887 0.0000 3.5887
3.5887 3.5887 0.0000
K Cr Fe
1 1 4
Direct
0.0000 0.0000 0.0000
0.7500 0.7500 0.7500
0.3754 0.3754 0.3754
0.3754 0.3754 0.8738
0.3754 0.8738 0.3754
0.8738 0.3754 0.3754

***

no.,calculated density (Mg/m³)
1,11.35
2,6.89
3,8.78
4,14.60
5,7.63
6,5.33
7,8.50
8,3.12
9,15.11
10,7.52
11,5.65